[1]
Material: CsSn4Sb
Method: DFT, PBE-GGA
State: optimized geometry

Cell: 4.3456 13.3180 7.5002 Å, 98.97 90.00 90.00°
With the nearest neighbours (Å) after each atom.
Element x y z (fractional)
Sn (0.5000, 0.1564, 0.1716)  5 Sn 3.11-3.38, 2 Sb 3.14
Cs (0.0000, 0.0000, 0.5000)  2 Sb 3.75, 10 Sn 4.09-4.14
Sn (0.5000, 0.2675, 0.5724)  3 Sn 3.11-3.14, 1 Sb 3.23
Sn (0.0000, 0.7675, 0.0724)  3 Sn 3.11-3.14, 1 Sb 3.23
Sb (0.5000, 0.5000, 0.5000)  6 Sn 3.14-3.23
Sn (0.5000, 0.7325, 0.4276)  3 Sn 3.11-3.14, 1 Sb 3.23
Sn (0.0000, 0.6564, 0.6716)  5 Sn 3.11-3.38, 2 Sb 3.14
Sn (0.5000, 0.8436, 0.8284)  5 Sn 3.11-3.38, 2 Sb 3.14
Sb (0.0000, 0.0000, 0.0000)  6 Sn 3.14-3.23
Sn (0.0000, 0.3436, 0.3284)  5 Sn 3.11-3.38, 2 Sb 3.14
Cs (0.5000, 0.5000, 0.0000)  2 Sb 3.75, 10 Sn 4.09-4.14
Sn (0.0000, 0.2325, 0.9276)  3 Sn 3.11-3.14, 1 Sb 3.23

Results
Energy relative to the elements, uncorrected, eV/atom: -0.066

=====

[2]
Material: Cs2Sn3Sb3
Method: DFT, PBE-GGA
State: optimized geometry

Cell: 4.2325 8.9790 17.6734 Å, 90.00 90.00 103.63°
With the nearest neighbours (Å) after each atom.
Element x y z (fractional)
Sb (0.1415, 0.2829, 0.8927)  2 Sn 2.91
Sn (0.4707, 0.9415, 0.0856)  3 Sb 2.91-3.12, 1 Sn 3.19
Sb (0.1415, 0.2829, 0.6073)  2 Sn 2.91
Sn (0.5293, 0.0585, 0.9144)  3 Sb 2.91-3.12, 1 Sn 3.19
Sb (0.4642, 0.9283, 0.7500)  3 Sn 2.95-3.12
Sn (0.3668, 0.7335, 0.2500)  5 Sb 2.95-3.30
Cs (0.1689, 0.3377, 0.3898)  5 Sb 3.87-4.00, 3 Sn 4.08-4.25, 2 Cs 4.23
Sn (0.6332, 0.2665, 0.7500)  5 Sb 2.95-3.30
Cs (0.8311, 0.6623, 0.6102)  5 Sb 3.87-4.00, 3 Sn 4.08-4.25, 2 Cs 4.23
Cs (0.1689, 0.3377, 0.1102)  5 Sb 3.87-4.00, 3 Sn 4.08-4.25, 2 Cs 4.23
Sb (0.5358, 0.0717, 0.2500)  3 Sn 2.95-3.12
Sb (0.8585, 0.7171, 0.1073)  2 Sn 2.91
Sb (0.8585, 0.7171, 0.3927)  2 Sn 2.91
Sn (0.5293, 0.0585, 0.5856)  3 Sb 2.91-3.12, 1 Sn 3.19
Cs (0.8311, 0.6623, 0.8898)  5 Sb 3.87-4.00, 3 Sn 4.08-4.25, 2 Cs 4.23
Sn (0.4707, 0.9415, 0.4144)  3 Sb 2.91-3.12, 1 Sn 3.19

Results
Energy relative to the elements, uncorrected, eV/atom: -0.208

=====

[3]
Material: Cs2SnSb
Method: DFT, PBE-GGA
State: optimized geometry

Cell: 6.3918 6.3918 6.3918 Å, 60.00 60.00 60.00°
With the nearest neighbours (Å) after each atom.
Element x y z (fractional)
Sn (0.0000, 0.0000, 0.0000)  8 Cs 3.91
Cs (0.7500, 0.7500, 0.7500)  4 Sb 3.91, 4 Sn 3.91
Cs (0.2500, 0.2500, 0.2500)  4 Sn 3.91, 4 Sb 3.91
Sb (0.5000, 0.5000, 0.5000)  8 Cs 3.91

Results
Energy relative to the elements, uncorrected, eV/atom: 0.125